SrPRu2 | PBE-GGA | optimized geometry

Values from the calculation:
- mass density (g/cm³) = 7.6
- crystal system = tetragonal
- magnetic moment (μB per cell) = 0.49
- total energy (eV for the cell shown) = -25.382

a b c (Å): 3.0357 3.0357 7.5973
angles (deg): 90.00 90.00 90.00
Fractional coordinates of all 4 atoms:
Ru (0.5000, 0.5000, 0.1996)
Ru (0.0000, 0.0000, 0.9737)
P (0.5000, 0.5000, 0.8166)
Sr (0.0000, 0.0000, 0.5100)